Entry 1:
! CrSnN2 | Alexandria via LeMat-Bulk | GGA-PBE | optimized geometry; values from VASP
&SYSTEM
  ibrav = 0, nat = 4, ntyp = 3
/
ATOMIC_SPECIES
Cr 52.00 Cr.upf
Sn 118.71 Sn.upf
N 14.01 N.upf
CELL_PARAMETERS angstrom
3.3016 0.0000 0.0000
0.0000 5.8900 0.0000
0.0000 0.0000 2.8000
ATOMIC_POSITIONS crystal
Cr 0.0000 0.0000 0.0000
Sn 0.5000 0.5000 0.4372
N 0.0000 0.2255 0.4305
N 0.0000 0.7745 0.4305
! **Fermi-level density of states**: 2.15 states/eV/f.u.
! **Uncorrected formation energy**: 0.28 eV/atom



Entry 2:
! PuScGa | Alexandria via LeMat-Bulk | GGA-PBE | optimized geometry; values from VASP
&SYSTEM
  ibrav = 0, nat = 3, ntyp = 3
/
ATOMIC_SPECIES
Pu 244.00 Pu.upf
Sc 44.96 Sc.upf
Ga 69.72 Ga.upf
CELL_PARAMETERS angstrom
4.9992 0.0000 0.0000
-2.4996 4.3294 0.0000
0.0000 0.0000 2.9374
ATOMIC_POSITIONS crystal
Pu 0.0000 0.0000 0.0000
Sc 0.3333 0.6667 0.0000
Ga 0.6667 0.3333 0.5000
! **Fermi-level density of states**: 7.52 states/eV/f.u.
! **Distance to the lowest polymorph of the same formula**: 278 meV/atom



Entry 3:
! EuPuSb2 | Alexandria via LeMat-Bulk | GGA-PBE | optimized geometry; values from VASP
&SYSTEM
  ibrav = 0, nat = 4, ntyp = 3
/
ATOMIC_SPECIES
Eu 151.96 Eu.upf
Pu 244.00 Pu.upf
Sb 121.76 Sb.upf
CELL_PARAMETERS angstrom
2.2556 1.3023 7.3797
-2.2556 1.3023 7.3797
0.0000 -2.6046 7.3797
ATOMIC_POSITIONS crystal
Eu 0.0000 0.0000 0.0000
Pu 0.5000 0.5000 0.5000
Sb 0.2442 0.2442 0.2442
Sb 0.7558 0.7558 0.7558
! **Fermi-level density of states**: 25.58 states/eV/f.u.
! **Distance to the lowest polymorph of the same formula**: 0 meV/atom
! **Uncorrected formation energy**: -0.76 eV/atom



Entry 4:
! BaZnSnHg | Alexandria via LeMat-Bulk | GGA-PBE | optimized geometry; values from VASP
&SYSTEM
  ibrav = 0, nat = 4, ntyp = 4
/
ATOMIC_SPECIES
Ba 137.33 Ba.upf
Zn 65.41 Zn.upf
Sn 118.71 Sn.upf
Hg 200.59 Hg.upf
CELL_PARAMETERS angstrom
0.0000 3.8497 3.8497
3.8497 0.0000 3.8497
3.8497 3.8497 0.0000
ATOMIC_POSITIONS crystal
Ba 0.0000 0.0000 0.0000
Zn 0.2500 0.2500 0.2500
Sn 0.5000 0.5000 0.5000
Hg 0.7500 0.7500 0.7500
! **E**: -8.70 eV/cell
! **Fermi-level density of states**: 1.79 states/eV/f.u.



Entry 5:
! NaAgSO5 | Alexandria via LeMat-Bulk | GGA-PBE | optimized geometry; values from VASP
&SYSTEM
  ibrav = 0, nat = 16, ntyp = 4
/
ATOMIC_SPECIES
Na 22.99 Na.upf
Ag 107.87 Ag.upf
S 32.06 S.upf
O 16.00 O.upf
CELL_PARAMETERS angstrom
5.4559 0.0000 0.0000
-0.0282 5.9624 0.0000
-2.4423 -1.1656 8.3941
ATOMIC_POSITIONS crystal
Na 0.0480 0.3045 0.2860
Na 0.9520 0.6955 0.7140
Ag 0.3018 0.2453 0.9729
Ag 0.6982 0.7547 0.0271
S 0.1661 0.7729 0.1163
S 0.8339 0.2271 0.8837
O 0.1201 0.3212 0.5793
O 0.1973 0.1622 0.6598
O 0.2670 0.5847 0.2107
O 0.2668 0.9992 0.2097
O 0.2697 0.7437 0.9676
O 0.7303 0.2563 0.0324
O 0.7332 0.0008 0.7903
O 0.7330 0.4153 0.7893
O 0.8027 0.8378 0.3402
O 0.8799 0.6788 0.4207
! **Fermi-level density of states**: 1.08 states/eV/f.u.
! **Uncorrected formation energy**: -0.85 eV/atom



Entry 6:
! Na3Sn2Cl7 | Alexandria via LeMat-Bulk | GGA-PBE | optimized geometry; values from VASP
&SYSTEM
  ibrav = 0, nat = 24, ntyp = 3
/
ATOMIC_SPECIES
Na 22.99 Na.upf
Sn 118.71 Sn.upf
Cl 35.45 Cl.upf
CELL_PARAMETERS angstrom
12.4276 -3.5805 0.0000
12.4276 3.5805 0.0000
0.0000 0.0000 7.6759
ATOMIC_POSITIONS crystal
Na 0.0629 0.5441 0.5858
Na 0.2285 0.7715 0.5000
Na 0.4559 0.9371 0.5858
Na 0.5441 0.0629 0.0858
Na 0.7715 0.2285 0.0000
Na 0.9371 0.4559 0.0858
Sn 0.1369 0.6476 0.0083
Sn 0.3524 0.8631 0.0083
Sn 0.6476 0.1369 0.5083
Sn 0.8631 0.3524 0.5083
Cl 0.0839 0.2235 0.7834
Cl 0.1089 0.8911 0.1660
Cl 0.1755 0.4116 0.9425
Cl 0.2235 0.0839 0.2834
Cl 0.3270 0.5013 0.6485
Cl 0.4116 0.1755 0.4425
Cl 0.4987 0.6730 0.6485
Cl 0.5013 0.3270 0.1485
Cl 0.5884 0.8245 0.9425
Cl 0.6730 0.4987 0.1485
Cl 0.7765 0.9161 0.7834
Cl 0.8245 0.5884 0.4425
Cl 0.8911 0.1089 0.6660
Cl 0.9161 0.7765 0.2834
! **Fermi-level density of states**: 0.00 states/eV/f.u.
! **Uncorrected formation energy**: -1.39 eV/atom



Entry 7:
! CaTa5 | Alexandria via LeMat-Bulk | GGA-PBE | optimized geometry; values from VASP
&SYSTEM
  ibrav = 0, nat = 6, ntyp = 2
/
ATOMIC_SPECIES
Ca 40.08 Ca.upf
Ta 180.95 Ta.upf
CELL_PARAMETERS angstrom
0.0000 3.9565 3.9565
3.9565 0.0000 3.9565
3.9565 3.9565 0.0000
ATOMIC_POSITIONS crystal
Ca 0.0000 0.0000 0.0000
Ta 0.3758 0.3758 0.3758
Ta 0.3758 0.3758 0.8724
Ta 0.3758 0.8724 0.3758
Ta 0.7500 0.7500 0.7500
Ta 0.8724 0.3758 0.3758
! **Fermi-level density of states**: 13.67 states/eV/f.u.
! **Distance to the lowest polymorph of the same formula**: 101 meV/atom



Entry 8:
! Sc5Co2Pt | Alexandria via LeMat-Bulk | GGA-PBE | optimized geometry; values from VASP
&SYSTEM
  ibrav = 0, nat = 16, ntyp = 3
/
ATOMIC_SPECIES
Sc 44.96 Sc.upf
Co 58.93 Co.upf
Pt 195.08 Pt.upf
CELL_PARAMETERS angstrom
-3.3605 3.3605 6.6082
3.3605 -3.3605 6.6082
3.3605 3.3605 -6.6082
ATOMIC_POSITIONS crystal
Sc 0.0000 0.0000 0.0000
Sc 0.0355 0.5355 0.8522
Sc 0.1834 0.0355 0.5000
Sc 0.3166 0.8166 0.8522
Sc 0.4645 0.3166 0.5000
Sc 0.5000 0.5000 0.0000
Sc 0.5355 0.6834 0.5000
Sc 0.6834 0.1834 0.1478
Sc 0.8166 0.9645 0.5000
Sc 0.9645 0.4645 0.1478
Co 0.1200 0.3800 0.5000
Co 0.3800 0.8800 0.2600
Co 0.6200 0.1200 0.7400
Co 0.8800 0.6200 0.5000
Pt 0.2500 0.2500 0.0000
Pt 0.7500 0.7500 0.0000
! **E**: -112.93 eV/cell
! **Fermi-level density of states**: 6.56 states/eV/f.u.



Entry 9:
! KSr2Tl9 | Alexandria via LeMat-Bulk | GGA-PBE | optimized geometry; values from VASP
&SYSTEM
  ibrav = 0, nat = 12, ntyp = 3
/
ATOMIC_SPECIES
K 39.10 K.upf
Sr 87.62 Sr.upf
Tl 204.38 Tl.upf
CELL_PARAMETERS angstrom
5.0122 0.0000 0.0000
0.0000 5.0122 0.0000
0.0000 0.0000 15.1152
ATOMIC_POSITIONS crystal
K 0.0000 0.0000 0.0000
Sr 0.0000 0.0000 0.3359
Sr 0.0000 0.0000 0.6641
Tl 0.0000 0.5000 0.1701
Tl 0.0000 0.5000 0.5000
Tl 0.0000 0.5000 0.8299
Tl 0.5000 0.0000 0.1701
Tl 0.5000 0.0000 0.5000
Tl 0.5000 0.0000 0.8299
Tl 0.5000 0.5000 0.0000
Tl 0.5000 0.5000 0.3337
Tl 0.5000 0.5000 0.6663
! **E**: -27.81 eV/cell
! **Fermi-level density of states**: 8.17 states/eV/f.u.



Entry 10:
! Dy2YEr4 | Alexandria via LeMat-Bulk | GGA-PBE | optimized geometry; values from VASP
&SYSTEM
  ibrav = 0, nat = 7, ntyp = 3
/
ATOMIC_SPECIES
Dy 162.50 Dy.upf
Y 88.91 Y.upf
Er 167.26 Er.upf
CELL_PARAMETERS angstrom
8.2990 -1.7573 0.0000
8.2990 1.7573 0.0000
-4.3021 0.0000 7.5071
ATOMIC_POSITIONS crystal
Dy 0.0700 0.0700 0.4304
Dy 0.9300 0.9300 0.5696
Y 0.0000 0.0000 0.0000
Er 0.2953 0.2953 0.7054
Er 0.3571 0.3571 0.1638
Er 0.6429 0.6429 0.8362
Er 0.7047 0.7047 0.2946
! **Fermi-level density of states**: 11.54 states/eV/f.u.
! **Distance to the lowest polymorph of the same formula**: 0 meV/atom



> Fermi-level density of states of number 4 (BaZnSnHg)?

1.79 states/eV/f.u.



> Among the records above, which one has the highest Fermi-level density of states?

EuPuSb2



> Which value of Fermi-level density of states does entry 2 give?

7.52 states/eV/f.u.